w.
A plane-wave DFT calculation with PBE was carried out for crystalline U2MnP at its relaxed geometry.

Space group: Cmmm
Theoretical density (g/cm3): 13.164

Lattice parameters (Å, degrees): 5.507 7.547 3.411 90.00 90.00 90.00
Sites, in units of the cell vectors:
1 U 0.250 0.250 0.000
2 U 0.250 0.750 0.000
3 U 0.750 0.250 0.000
4 U 0.750 0.750 0.000
5 Mn 0.000 0.000 0.500
6 Mn 0.500 0.500 0.500
7 P 0.000 0.500 0.500
8 P 0.500 0.000 0.500

x.
A plane-wave DFT calculation with PBE was carried out for crystalline U2MnP at its relaxed geometry.

Space group: R-3m
Theoretical density (g/cm3): 12.604

Lattice parameters (Å, degrees): 4.277 4.277 14.022 90.00 90.00 120.00
Sites, in units of the cell vectors:
1 U 0.000 0.000 0.244
2 U 0.000 0.000 0.756
3 U 0.333 0.667 0.423
4 U 0.333 0.667 0.911
5 U 0.667 0.333 0.089
6 U 0.667 0.333 0.577
7 Mn 0.000 0.000 0.500
8 Mn 0.333 0.667 0.167
9 Mn 0.667 0.333 0.833
10 P 0.000 0.000 0.000
11 P 0.333 0.667 0.667
12 P 0.667 0.333 0.333

Energies relative to the most stable structure are w 0; x 263, reported in meV per atom.

w.
A plane-wave DFT calculation with PBE was carried out for crystalline UMn4P2 at its relaxed geometry.

Space group: C2/m
Theoretical density (g/cm3): 9.041

Lattice parameters (Å, degrees): 14.912 3.671 3.495 90.00 93.58 90.00
Sites, in units of the cell vectors:
1 U 0.000 0.000 0.000
2 U 0.500 0.500 0.000
3 Mn 0.126 0.000 0.701
4 Mn 0.249 0.500 0.755
5 Mn 0.251 0.000 0.245
6 Mn 0.374 0.500 0.299
7 Mn 0.626 0.500 0.701
8 Mn 0.749 0.000 0.755
9 Mn 0.751 0.500 0.245
10 Mn 0.874 0.000 0.299
11 P 0.143 0.500 0.226
12 P 0.357 0.000 0.774
13 P 0.643 0.000 0.226
14 P 0.857 0.500 0.774

x.
A plane-wave DFT calculation with PBE was carried out for crystalline UMn4P2 at its relaxed geometry.

Space group: P4_2/mnm
Theoretical density (g/cm3): 9.625

Lattice parameters (Å, degrees): 7.044 7.044 3.614 90.00 90.00 90.00
Sites, in units of the cell vectors:
1 U 0.000 0.000 0.000
2 U 0.500 0.500 0.500
3 Mn 0.082 0.345 0.500
4 Mn 0.155 0.582 0.000
5 Mn 0.345 0.082 0.500
6 Mn 0.418 0.845 0.000
7 Mn 0.582 0.155 0.000
8 Mn 0.655 0.918 0.500
9 Mn 0.845 0.418 0.000
10 Mn 0.918 0.655 0.500
11 P 0.219 0.781 0.500
12 P 0.281 0.281 0.000
13 P 0.719 0.719 0.000
14 P 0.781 0.219 0.500

Energies relative to the most stable structure are w 278; x 0, reported in meV per atom.

w.
A plane-wave DFT calculation with PBE was carried out for crystalline UMn3P2 at its relaxed geometry.

Space group: C2/m
Theoretical density (g/cm3): 9.422

Lattice parameters (Å, degrees): 7.465 7.465 6.822 115.77 115.77 28.83
Sites, in units of the cell vectors:
1 U 0.147 0.147 0.054
2 U 0.853 0.853 0.946
3 Mn 0.043 0.043 0.384
4 Mn 0.309 0.309 0.542
5 Mn 0.411 0.411 0.333
6 Mn 0.589 0.589 0.667
7 Mn 0.691 0.691 0.458
8 Mn 0.957 0.957 0.616
9 P 0.195 0.195 0.697
10 P 0.474 0.474 0.813
11 P 0.526 0.526 0.187
12 P 0.805 0.805 0.303

x.
A plane-wave DFT calculation with PBE was carried out for crystalline UMn3P2 at its relaxed geometry.

Space group: C2/m
Theoretical density (g/cm3): 9.428

Lattice parameters (Å, degrees): 7.857 7.857 9.181 106.84 106.84 27.00
Sites, in units of the cell vectors:
1 U 0.000 0.000 0.000
2 U 0.157 0.157 0.703
3 U 0.843 0.843 0.297
4 Mn 0.047 0.047 0.345
5 Mn 0.214 0.214 0.392
6 Mn 0.321 0.321 0.034
7 Mn 0.381 0.381 0.800
8 Mn 0.500 0.500 0.500
9 Mn 0.619 0.619 0.200
10 Mn 0.679 0.679 0.966
11 Mn 0.786 0.786 0.608
12 Mn 0.953 0.953 0.655
13 P 0.198 0.198 0.134
14 P 0.359 0.359 0.540
15 P 0.464 0.464 0.219
16 P 0.536 0.536 0.781
17 P 0.641 0.641 0.460
18 P 0.802 0.802 0.866

Energies relative to the most stable structure are w 75; x 0, reported in meV per atom.

w.
A plane-wave DFT calculation with PBE was carried out for crystalline MnV2P at its relaxed geometry.

Space group: Fm-3m
Theoretical density (g/cm3): 6.351

Lattice parameters (Å, degrees): 5.813 5.813 5.813 90.00 90.00 90.00
Sites, in units of the cell vectors:
1 Mn 0.000 0.000 0.000
2 Mn 0.000 0.500 0.500
3 Mn 0.500 0.000 0.500
4 Mn 0.500 0.500 0.000
5 V 0.250 0.250 0.250
6 V 0.250 0.250 0.750
7 V 0.250 0.750 0.250
8 V 0.250 0.750 0.750
9 V 0.750 0.250 0.250
10 V 0.750 0.250 0.750
11 V 0.750 0.750 0.250
12 V 0.750 0.750 0.750
13 P 0.000 0.000 0.500
14 P 0.000 0.500 0.000
15 P 0.500 0.000 0.000
16 P 0.500 0.500 0.500

x.
A plane-wave DFT calculation with PBE was carried out for crystalline MnV2P at its relaxed geometry.

Space group: P4/mmm
Theoretical density (g/cm3): 6.357

Lattice parameters (Å, degrees): 3.104 3.104 5.092 90.00 90.00 90.00
Sites, in units of the cell vectors:
1 Mn 0.000 0.000 0.000
2 V 0.500 0.500 0.263
3 V 0.500 0.500 0.737
4 P 0.000 0.000 0.500

Energies relative to the most stable structure are w 75; x 0, reported in meV per atom.